## CoBiAsSe2 (GGA-PBE)

Data for CoBiAsSe2 after structural relaxation.

a = 5.4869 Å, b = 5.4869 Å, c = 5.4380 Å
α = 90.00°, β = 90.00°, γ = 90.00°
Closest atoms and distances in Å follow each position.
Space group P4/mmm (No. 123)
Asymmetric unit:
Co 0.0000 0.0000 0.0000 [1 per cell]  8 Se 3.86, 4 As 3.88
Bi 0.5000 0.5000 0.5000 [1 per cell]  2 As 2.72, 4 Se 2.74
As 0.5000 0.5000 0.0000 [1 per cell]  2 Bi 2.72
Se 0.0000 0.5000 0.5000 [2 per cell]  2 Bi 2.74

Computed properties:
Raw formation energy ... 1.3022 eV per atom
Calculated volume ... 164 Å³/cell
Excess energy over the best structure of this formula in the dataset ... 1118 meV per atom
Total magnetic moment ... 3.56 μB/f.u.
Crystal system ... tetragonal

## CoBiAsSe2 (GGA-PBE)

Data for CoBiAsSe2 after structural relaxation.

a = 4.9955 Å, b = 4.9955 Å, c = 4.3409 Å
α = 90.00°, β = 90.00°, γ = 90.00°
Closest atoms and distances in Å follow each position.
Space group P4/mmm (No. 123)
Asymmetric unit:
Co 0.0000 0.0000 0.0000 [1 per cell]  2 As 2.17
Bi 0.5000 0.5000 0.5000 [1 per cell]  8 Se 3.31, 4 As 3.53
As 0.0000 0.0000 0.5000 [1 per cell]  2 Co 2.17
Se 0.0000 0.5000 0.0000 [2 per cell]  2 Co 2.50

Computed properties:
Raw formation energy ... 0.1846 eV per atom
Calculated volume ... 108 Å³/cell
Excess energy over the best structure of this formula in the dataset ... 0 meV per atom
Total magnetic moment ... 0.00 μB/f.u.
Crystal system ... tetragonal

## CoBiAs2Se (GGA-PBE)

Data for CoBiAs2Se after structural relaxation.

a = 4.5144 Å, b = 4.5144 Å, c = 5.2581 Å
α = 90.00°, β = 90.00°, γ = 90.00°
Closest atoms and distances in Å follow each position.
Space group P4/mmm (No. 123)
Asymmetric unit:
Co 0.0000 0.0000 0.0000 [1 per cell]  4 As 2.26
Bi 0.5000 0.5000 0.5000 [1 per cell]  4 Se 3.19, 8 As 3.47
As 0.0000 0.5000 0.0000 [2 per cell]  2 Co 2.26
Se 0.0000 0.0000 0.5000 [1 per cell]  2 Co 2.63

Computed properties:
Raw formation energy ... 0.2425 eV per atom
Calculated volume ... 107 Å³/cell
Excess energy over the best structure of this formula in the dataset ... 0 meV per atom
Total magnetic moment ... 0.00 μB/f.u.
Crystal system ... tetragonal

## CoBiAs2W (GGA-PBE)

Data for CoBiAs2W after structural relaxation.

a = 4.4285 Å, b = 4.4285 Å, c = 5.3660 Å
α = 90.00°, β = 90.00°, γ = 90.00°
Closest atoms and distances in Å follow each position.
Space group P4/mmm (No. 123)
Asymmetric unit:
Co 0.0000 0.0000 0.0000 [1 per cell]  4 As 2.21
Bi 0.0000 0.0000 0.5000 [1 per cell]  2 Co 2.68
As 0.0000 0.5000 0.0000 [2 per cell]  2 Co 2.21
W 0.5000 0.5000 0.5000 [1 per cell]  4 Bi 3.13, 8 As 3.48

Computed properties:
Calculated volume ... 105 Å³/cell
Excess energy over the best structure of this formula in the dataset ... 0 meV per atom
Total magnetic moment ... 2.52 μB/f.u.
Formation enthalpy at 0 K ... 102.6 kJ/mol of atoms
Crystal system ... tetragonal

## CoBiAs2W (GGA-PBE)

Data for CoBiAs2W after structural relaxation.

a = 4.7813 Å, b = 4.7813 Å, c = 5.6558 Å
α = 90.00°, β = 90.00°, γ = 90.00°
Closest atoms and distances in Å follow each position.
Space group P4/mmm (No. 123)
Asymmetric unit:
Co 0.0000 0.0000 0.0000 [1 per cell]  4 Bi 3.38, 8 As 3.70
Bi 0.5000 0.5000 0.0000 [1 per cell]  2 W 2.83
As 0.0000 0.5000 0.5000 [2 per cell]  2 W 2.39
W 0.5000 0.5000 0.5000 [1 per cell]  4 As 2.39

Computed properties:
Calculated volume ... 129 Å³/cell
Excess energy over the best structure of this formula in the dataset ... 7 meV per atom
Total magnetic moment ... 2.10 μB/f.u.
Formation enthalpy at 0 K ... 103.4 kJ/mol of atoms
Crystal system ... tetragonal

## CrBiAs2 (GGA-PBE)

Data for CrBiAs2 after structural relaxation.

a = 3.2533 Å, b = 3.2533 Å, c = 27.2249 Å
α = 90.00°, β = 90.00°, γ = 120.00°
Closest atoms and distances in Å follow each position.
Space group R3m (No. 160, hexagonal axes)
Asymmetric unit:
Cr 0.0000 0.0000 0.0000 [3 per cell]  6 As 2.49
Bi 0.0000 0.0000 0.1715 [3 per cell]  6 Bi 3.25, 6 As 3.35-3.57
As 0.0000 0.0000 0.3934 [3 per cell]  3 Cr 2.49
As 0.0000 0.0000 0.6068 [3 per cell]  3 Cr 2.49

Computed properties:
Calculated volume ... 250 Å³/cell
Total magnetic moment ... 1.37 μB/f.u.
Formation enthalpy at 0 K ... 13.2 kJ/mol of atoms
Crystal system ... trigonal